A relaxed structure of Fe3CoAs, computed with PBE.

Structure (extended XYZ):
```
5
Lattice="4.331 0.000 0.000 0.000 4.331 0.000 0.000 0.000 4.331" Properties=species:S:1:pos:R:3 pbc="T T T"
Fe 0.000 0.000 2.165
Fe 0.000 2.165 0.000
Fe 2.165 0.000 0.000
Co 2.165 2.165 2.165
As 0.000 0.000 0.000
```

Computed properties:
E_form ... 0.971 eV per atom
Relative energy among the computed polymorphs ... 83 meV per atom
DOS at the Fermi energy ... 10.8 states/eV/f.u.
VASP energy ... -32.29 eV/cell
SG ... Pm-3m

A relaxed structure of Pm8IrPt2, computed with PBE.

Structure (extended XYZ):
```
11
Lattice="8.896 -2.543 0.000 8.896 2.543 0.000 -1.179 0.000 6.829" Properties=species:S:1:pos:R:3 pbc="T T T"
Pm 0.277 0.000 1.933
Pm 2.649 0.000 5.671
Pm 5.353 0.000 3.653
Pm 7.271 0.000 0.451
Pm 9.341 0.000 6.378
Pm 11.259 0.000 3.176
Pm 13.963 0.000 1.158
Pm 16.335 0.000 4.896
Ir 8.306 0.000 3.415
Pt 3.271 0.000 1.636
Pt 13.342 0.000 5.193
```

Computed properties:
E_form ... -0.573 eV per atom
Relative energy among the computed polymorphs ... 0 meV per atom
DOS at the Fermi energy ... 11.8 states/eV/f.u.
VASP energy ... -65.25 eV/cell
SG ... C2/m

A relaxed structure of CdCN2, computed with PBE.

Structure (extended XYZ):
```
4
Lattice="0.000 2.778 2.778 2.778 0.000 2.778 2.778 2.778 0.000" Properties=species:S:1:pos:R:3 pbc="T T T"
Cd 0.000 0.000 0.000
C 2.778 2.778 2.778
N 1.389 1.389 1.389
N 4.167 4.167 4.167
```

Computed properties:
E_form (uncorrected) ... 2.964 eV/atom
DOS at the Fermi energy ... 2.2 states/eV/f.u.
VASP energy ... -14.93 eV/cell
SG ... Fm-3m

A relaxed structure of Al3NCl, computed with PBE.

Structure (extended XYZ):
```
5
Lattice="5.295 0.000 0.000 0.000 5.295 0.000 0.000 0.000 5.295" Properties=species:S:1:pos:R:3 pbc="T T T"
Al 0.000 0.000 2.648
Al 0.000 2.648 0.000
Al 2.648 0.000 0.000
N 2.648 2.648 2.648
Cl 0.000 0.000 0.000
```

Computed properties:
E_form (uncorrected) ... 1.660 eV/atom
Relative energy among the computed polymorphs ... 1292 meV per atom
DOS at the Fermi energy ... 5.2 states/eV/f.u.
VASP energy ... -13.10 eV/cell
SG ... Pm-3m

A relaxed structure of Zn2FeSe, computed with PBE.

Structure (extended XYZ):
```
4
Lattice="2.763 0.000 0.000 0.000 4.090 0.000 -1.373 0.000 5.874" Properties=species:S:1:pos:R:3 pbc="T T T"
Zn 0.000 0.000 0.000
Zn 0.000 2.045 1.573
Fe 0.007 2.045 5.249
Se 0.001 0.000 3.341
```

Computed properties:
E_form (uncorrected) ... 0.138 eV/atom
DOS at the Fermi energy ... 2.4 states/eV/f.u.
VASP energy ... -13.94 eV/cell
SG ... Pm

A relaxed structure of LiNdHo, computed with PBE.

Structure (extended XYZ):
```
3
Lattice="3.520 0.000 0.000 -1.760 3.048 0.000 0.000 0.000 8.396" Properties=species:S:1:pos:R:3 pbc="T T T"
Li 0.000 0.000 0.000
Nd 0.000 2.032 5.578
Ho 1.760 1.016 2.709
```

Computed properties:
E_form ... 0.107 eV per atom
Relative energy among the computed polymorphs ... 23 meV per atom
DOS at the Fermi energy ... 3.3 states/eV/f.u.
VASP energy ... -10.94 eV/cell
SG ... P3m1